This record from Alexandria via LeMat-Bulk describes a geometry-optimized BaPSe3 structure. The functional is PBEsol.

Calculated values
As for the density of states at the Fermi level: 0.000 states/eV/atom. Its space-group type is P2_1/c, No. 14. As for the total magnetization: 0.00 μB/cell. For the total energy, the calculation gives -98.04 eV per cell.

Cell lengths 6.990, 7.815, 10.258 Å; angles 90.00, 90.95, 90.00 degrees
Fractional positions:
Ba: 0.540 0.091 0.250
Ba: 0.960 0.591 0.250
Ba: 0.460 0.909 0.750
Ba: 0.040 0.409 0.750
P: 0.044 0.113 0.440
P: 0.456 0.613 0.060
P: 0.956 0.887 0.560
P: 0.544 0.387 0.940
Se: 0.565 0.483 0.740
Se: 0.935 0.983 0.760
Se: 0.435 0.517 0.260
Se: 0.065 0.017 0.240
Se: 0.813 0.290 0.027
Se: 0.687 0.790 0.473
Se: 0.187 0.710 0.973
Se: 0.313 0.210 0.527
Se: 0.313 0.201 0.965
Se: 0.187 0.701 0.535
Se: 0.687 0.799 0.035
Se: 0.813 0.299 0.465



This record from Alexandria via LeMat-Bulk describes a geometry-optimized Ca2AsCl structure. The functional is PBEsol.

Calculated values
As for the density of states at the Fermi level: 0.022 states/eV/atom. Its space-group type is P4/mmm, No. 123. As for the total magnetization: 0.00 μB/cell. For the total energy, the calculation gives -17.91 eV per cell.

Cell lengths 4.171, 4.171, 5.699 Å; angles 90.00, 90.00, 90.00 degrees
Fractional positions:
As: 0.500 0.500 0.500
Ca: 0.000 0.000 0.500
Ca: 0.500 0.500 0.000
Cl: 0.000 0.000 0.000



This record from Alexandria via LeMat-Bulk describes a geometry-optimized Sr3Cl structure. The functional is PBEsol.

Calculated values
As for the density of states at the Fermi level: 0.797 states/eV/atom. Its space-group type is Pmm2, No. 25. As for the total magnetization: 0.00 μB/cell. For the total energy, the calculation gives -9.94 eV per cell.

Cell lengths 4.214, 6.572, 7.331 Å; angles 90.00, 90.00, 90.00 degrees
Fractional positions:
Sr: 0.500 0.000 0.444
Sr: 0.500 0.500 0.770
Sr: 0.000 0.500 0.274
Cl: 0.000 0.000 0.178



This record from Alexandria via LeMat-Bulk describes a geometry-optimized Mg2ICl2 structure. The functional is PBEsol.

Calculated values
As for the density of states at the Fermi level: 0.540 states/eV/atom. Its space-group type is I4/mmm, No. 139. As for the total magnetization: 0.00 μB/cell. For the total energy, the calculation gives -13.93 eV per cell.

Cell lengths 4.896, 4.896, 6.239 Å; angles 113.10, 113.10, 90.00 degrees
Fractional positions:
I: 0.000 0.000 0.000
Mg: 0.250 0.750 0.500
Mg: 0.750 0.250 0.500
Cl: 0.338 0.338 0.675
Cl: 0.662 0.662 0.325



This record from Alexandria via LeMat-Bulk describes a geometry-optimized Ta2ZnW structure. The functional is PBEsol.

Calculated values
As for the density of states at the Fermi level: 0.317 states/eV/atom. Its space-group type is P4/mmm, No. 123. As for the total magnetization: 0.00 μB/cell. For the total energy, the calculation gives -40.60 eV per cell. Its formation enthalpy at 0 K is -0.03 eV/atom.

Cell lengths 3.263, 3.263, 6.055 Å; angles 90.00, 90.00, 90.00 degrees
Fractional positions:
Zn: 0.500 0.500 0.500
W: 0.500 0.500 0.000
Ta: 0.000 0.000 0.750
Ta: 0.000 0.000 0.250



This record from Alexandria via LeMat-Bulk describes a geometry-optimized KRbOs2Rh structure. The functional is PBEsol.

Calculated values
As for the density of states at the Fermi level: 1.733 states/eV/atom. Its space-group type is P4/mmm, No. 123. As for the total magnetization: 0.02 μB/cell. For the total energy, the calculation gives -17.49 eV per cell. Its formation enthalpy at 0 K is 3.45 eV/atom.

Cell lengths 4.732, 4.732, 5.042 Å; angles 90.00, 90.00, 90.00 degrees
Fractional positions:
Rh: 0.500 0.500 0.500
K: 0.000 0.000 0.500
Os: 0.000 0.500 0.000
Os: 0.500 0.000 0.000
Rb: 0.000 0.000 0.000



This record from Alexandria via LeMat-Bulk describes a geometry-optimized InGeSN2 structure. The functional is PBEsol.

Calculated values
As for the density of states at the Fermi level: 0.555 states/eV/atom. Its space-group type is P4/mmm, No. 123. As for the total magnetization: 0.00 μB/cell. For the total energy, the calculation gives -25.59 eV per cell.

Cell lengths 3.724, 3.724, 5.252 Å; angles 90.00, 90.00, 90.00 degrees
Fractional positions:
Ge: 0.000 0.000 0.000
N: 0.000 0.500 0.000
N: 0.500 0.000 0.000
S: 0.000 0.000 0.500
In: 0.500 0.500 0.500



This record from Alexandria via LeMat-Bulk describes a geometry-optimized Al2CdHg structure. The functional is PBEsol.

Calculated values
The value obtained for the excess energy over the best structure of this formula in the dataset is 6.9 kJ per mole of atoms. As for the density of states at the Fermi level: 0.448 states/eV/atom. Its space-group type is Fm-3m, No. 225. As for the total magnetization: 0.00 μB/cell. For the total energy, the calculation gives -9.13 eV per cell. Its formation enthalpy at 0 K is 0.20 eV/atom.

Cell lengths 4.825, 4.825, 4.825 Å; angles 60.00, 60.00, 60.00 degrees
Fractional positions:
Al: 0.750 0.750 0.750
Al: 0.250 0.250 0.250
Hg: 0.500 0.500 0.500
Cd: 0.000 0.000 0.000



This record from Alexandria via LeMat-Bulk describes a geometry-optimized YSnPt structure. The functional is PBEsol.

Calculated values
As for the density of states at the Fermi level: 0.455 states/eV/atom. Its space-group type is Pnma, No. 62. As for the total magnetization: 0.00 μB/cell. For the total energy, the calculation gives -85.52 eV per cell. Its formation enthalpy at 0 K is -1.11 eV/atom.

Cell lengths 4.525, 7.108, 7.915 Å; angles 90.00, 90.00, 90.00 degrees
Fractional positions:
Y: 0.250 0.010 0.697
Y: 0.750 0.990 0.303
Y: 0.250 0.510 0.803
Y: 0.750 0.490 0.197
Sn: 0.250 0.679 0.416
Sn: 0.750 0.821 0.916
Sn: 0.750 0.321 0.584
Sn: 0.250 0.179 0.084
Pt: 0.750 0.217 0.910
Pt: 0.750 0.717 0.590
Pt: 0.250 0.283 0.410
Pt: 0.250 0.783 0.090



This record from Alexandria via LeMat-Bulk describes a geometry-optimized HfAsCBr2 structure. The functional is PBEsol.

Calculated values
As for the density of states at the Fermi level: 0.584 states/eV/atom. Its space-group type is P4/mmm, No. 123. As for the total magnetization: 0.01 μB/cell. For the total energy, the calculation gives -24.28 eV per cell.

Cell lengths 4.366, 4.366, 4.605 Å; angles 90.00, 90.00, 90.00 degrees
Fractional positions:
As: 0.000 0.000 0.500
Hf: 0.500 0.500 0.500
C: 0.000 0.000 0.000
Br: 0.000 0.500 0.000
Br: 0.500 0.000 0.000



This record from Alexandria via LeMat-Bulk describes a geometry-optimized Na5Dy4Si4O16F structure. The functional is PBEsol.

Calculated values
As for the density of states at the Fermi level: 0.000 states/eV/atom. Its space-group type is I-4, No. 82. As for the total magnetization: 0.00 μB/cell. For the total energy, the calculation gives -225.20 eV per cell.

Cell lengths 5.391, 8.584, 8.584 Å; angles 84.34, 71.70, 71.70 degrees
Fractional positions:
Na: 0.615 0.306 0.485
Na: 0.405 0.694 0.515
Na: 0.080 0.515 0.306
Na: 0.901 0.485 0.694
Na: 0.500 0.000 0.000
Dy: 0.206 0.703 0.934
Dy: 0.843 0.297 0.066
Dy: 0.091 0.066 0.703
Dy: 0.860 0.934 0.297
Si: 0.384 0.352 0.857
Si: 0.593 0.648 0.143
Si: 0.264 0.143 0.352
Si: 0.758 0.857 0.648
O: 0.407 0.499 0.722
O: 0.628 0.501 0.278
O: 0.094 0.278 0.499
O: 0.871 0.722 0.501
O: 0.685 0.234 0.864
O: 0.783 0.766 0.136
O: 0.081 0.136 0.234
O: 0.451 0.864 0.766
O: 0.207 0.240 0.827
O: 0.274 0.760 0.173
O: 0.553 0.173 0.240
O: 0.966 0.827 0.760
O: 0.190 0.441 0.034
O: 0.665 0.559 0.966
O: 0.369 0.966 0.441
O: 0.776 0.034 0.559
F: 0.000 0.000 0.000



This record from Alexandria via LeMat-Bulk describes a geometry-optimized CoReTc2 structure. The functional is PBEsol.

Calculated values
The value obtained for the excess energy over the best structure of this formula in the dataset is 0.0 kJ per mole of atoms. As for the density of states at the Fermi level: 0.896 states/eV/atom. Its space-group type is P4/mmm, No. 123. As for the total magnetization: 0.00 μB/cell. For the total energy, the calculation gives -43.57 eV per cell. Its formation enthalpy at 0 K is 0.01 eV/atom.

Cell lengths 3.736, 3.736, 3.758 Å; angles 90.00, 90.00, 90.00 degrees
Fractional positions:
Re: 0.000 0.000 0.500
Co: 0.500 0.500 0.500
Tc: 0.000 0.500 0.000
Tc: 0.500 0.000 0.000